The following is a GGA-PBEsol calculation of a relaxed structure of NiPt3, from Alexandria via LeMat-Bulk.

- energy of formation from the pure elements (eV per atom) = -0.061
- SG = No. 221
- D(E_F) (states/eV/f.u.) = 6.4
- energy (eV per cell) = -27.293

Lattice parameters (Å, degrees): 3.822 3.822 3.822 90.00 90.00 90.00
Each line ends with the local moment (μB).
Positions (direct):
Ni  0.000  0.000  0.000  0.68
Pt  0.000  0.500  0.500  0.14
Pt  0.500  0.000  0.500  0.14
Pt  0.500  0.500  0.000  0.14



The following is a GGA-PBEsol calculation of a relaxed structure of Ni3Pt2, from Alexandria via LeMat-Bulk.

- energy relative to the lowest polymorph listed for this composition (meV/atom) = 7.5
- energy of formation from the pure elements (eV per atom) = -0.031
- SG = No. 6
- D(E_F) (states/eV/f.u.) = 8.1
- energy (eV per cell) = -65.107

Lattice parameters (Å, degrees): 2.654 6.304 7.660 104.17 90.00 90.00
Each line ends with the local moment (μB).
Positions (direct):
Pt  0.500  0.300  0.917  0.27
Ni  0.000  0.605  0.808  0.74
Ni  0.000  0.979  0.989  0.72
Pt  0.500  0.096  0.280  0.28
Pt  0.500  0.519  0.502  0.29
Ni  0.000  0.802  0.391  0.72
Ni  0.500  0.701  0.096  0.79
Pt  0.000  0.187  0.602  0.20
Ni  0.000  0.421  0.205  0.65
Ni  0.500  0.892  0.710  0.73



The following is a GGA-PBEsol calculation of a relaxed structure of NiPt, from Alexandria via LeMat-Bulk.

- energy of formation from the pure elements (eV per atom) = -0.002
- SG = No. 187
- D(E_F) (states/eV/f.u.) = 3.3
- energy (eV per cell) = -13.125

Lattice parameters (Å, degrees): 2.675 2.675 4.205 90.00 90.00 120.00
Each line ends with the local moment (μB).
Positions (direct):
Ni  0.000  0.000  0.000  0.81
Pt  0.667  0.333  0.500  0.26



The following is a GGA-PBEsol calculation of a relaxed structure of NiPt, from Alexandria via LeMat-Bulk.

- energy of formation from the pure elements (eV per atom) = -0.035
- SG = No. 47
- D(E_F) (states/eV/f.u.) = 3.4
- energy (eV per cell) = -79.146

Lattice parameters (Å, degrees): 3.665 5.303 7.956 90.00 90.00 90.00
Each line ends with the local moment (μB).
Positions (direct):
Ni  0.000  0.237  0.000  0.69
Pt  0.000  0.245  0.668  0.28
Ni  0.500  0.000  0.843  0.74
Pt  0.000  0.245  0.332  0.28
Ni  0.500  0.000  0.157  0.74
Ni  0.500  0.500  0.500  0.69
Pt  0.000  0.755  0.668  0.28
Pt  0.500  0.500  0.161  0.29
Ni  0.500  0.000  0.500  0.53
Pt  0.500  0.500  0.839  0.29
Pt  0.000  0.755  0.332  0.28
Ni  0.000  0.763  0.000  0.69



The following is a GGA-PBEsol calculation of a relaxed structure of Ni5Pt7, from Alexandria via LeMat-Bulk.

- energy relative to the lowest polymorph listed for this composition (meV/atom) = 0.0
- energy of formation from the pure elements (eV per atom) = -0.047
- SG = No. 2
- D(E_F) (states/eV/f.u.) = 19.4
- energy (eV per cell) = -80.099

Lattice parameters (Å, degrees): 4.618 5.291 7.018 111.90 90.60 90.04
Each line ends with the local moment (μB).
Positions (direct):
Pt  0.168  0.586  0.166  0.29
Pt  0.000  0.500  0.500  0.28
Pt  0.832  0.414  0.834  0.29
Ni  0.331  0.664  0.835  0.68
Ni  0.669  0.336  0.165  0.68
Pt  0.669  0.847  0.158  0.36
Pt  0.331  0.153  0.842  0.36
Pt  0.494  0.246  0.494  0.23
Pt  0.506  0.754  0.506  0.23
Ni  0.162  0.082  0.164  0.78
Ni  0.838  0.918  0.836  0.78
Ni  0.000  0.000  0.500  0.60



The following is a GGA-PBEsol calculation of a relaxed structure of Ni4Pt5, from Alexandria via LeMat-Bulk.

- energy relative to the lowest polymorph listed for this composition (meV/atom) = 22.7
- energy of formation from the pure elements (eV per atom) = -0.031
- SG = No. 139
- D(E_F) (states/eV/f.u.) = 14.9
- energy (eV per cell) = -59.728

Lattice parameters (Å, degrees): 3.795 5.902 5.902 84.07 71.25 71.25
Each line ends with the local moment (μB).
Positions (direct):
Pt  0.330  0.000  0.341  0.23
Pt  0.670  0.000  0.659  0.23
Pt  0.000  0.000  0.000  0.17
Ni  0.000  0.657  0.343  0.73
Pt  0.330  0.341  0.000  0.23
Ni  0.343  0.657  0.657  0.73
Pt  0.670  0.659  0.000  0.23
Ni  0.657  0.343  0.343  0.73
Ni  0.000  0.343  0.657  0.73